P:
8
Lattice="2.4203 2.4152 -5.5111 -4.3134 3.4246 3.4250 3.8440 2.1924 2.6489" Properties=species:S:1:pos:R:3 comment="CaMg6Ti, optimized geometry, DFT GGA-PBE" density_g_cm3=2.1 spacegroup="P-6m2, No. 187" total_magnetization_mub_per_atom=0.180 n_ef_per_ev_atom=0.753 pbc="T T T"
Ca -3.7518 3.3404 2.6797
Mg -1.5918 1.6813 0.9184
Mg -2.5018 4.4883 -0.0843
Mg -0.4302 2.8425 -1.7283
Mg 2.5734 2.4320 -0.7265
Mg 1.6572 5.2585 -1.7362
Mg 3.7467 3.6007 -3.3963
Ti 0.4137 4.1003 1.0268

Q:
8
Lattice="4.5965 -4.5951 0.0000 4.5965 4.5951 0.0000 0.0000 0.0000 4.4944" Properties=species:S:1:pos:R:3 comment="CaMg6Ti, optimized geometry, DFT GGA-PBE" density_g_cm3=2.0 spacegroup="P4/mmm, No. 123" total_magnetization_mub_per_atom=0.197 n_ef_per_ev_atom=0.741 pbc="T T T"
Ca 4.5965 3.4464 2.2472
Mg 6.8946 1.1488 2.2472
Mg 2.2983 1.1488 2.2472
Mg 6.7312 -1.1488 0.0000
Mg 2.4617 -1.1488 0.0000
Mg 4.5965 0.9883 0.0000
Mg 4.5965 -3.2858 0.0000
Ti 4.5965 -1.1488 2.2472

What are the relative energies? In meV per atom: P 20; Q 0.

P:
4
Lattice="5.4640 -0.0465 0.1381 4.1467 3.5584 0.1381 1.4597 0.5334 5.7719" Properties=species:S:1:pos:R:3 comment="CaMgTl2, optimized geometry, DFT GGA-PBE" density_g_cm3=7.0 spacegroup="C2/m, No. 12" total_magnetization_mub_per_atom=0.000 n_ef_per_ev_atom=0.606 pbc="T T T"
Ca 8.3028 3.0339 4.5361
Mg 2.7676 1.0113 1.5120
Tl 9.5325 3.4833 0.3883
Tl 5.6135 2.0512 2.9120

Q:
4
Lattice="3.8496 0.0000 0.0000 0.0000 4.2755 0.0000 0.0000 0.0000 6.9254" Properties=species:S:1:pos:R:3 comment="CaMgTl2, optimized geometry, DFT GGA-PBE" density_g_cm3=6.9 spacegroup="Pmm2, No. 25" total_magnetization_mub_per_atom=0.000 n_ef_per_ev_atom=0.452 pbc="T T T"
Ca 0.0000 0.0000 3.4014
Mg 1.9248 2.1377 5.4220
Tl 0.0000 0.0000 6.7806
Tl 1.9248 2.1377 1.7095

What are the relative energies? In meV per atom: P 0; Q 28.

P:
4
Lattice="5.1175 0.0000 0.0000 0.0000 4.1412 0.0000 0.0000 0.0000 5.1171" Properties=species:S:1:pos:R:3 comment="CaMgTl2, optimized geometry, DFT GGA-PBE" density_g_cm3=7.2 spacegroup="P4/mmm, No. 123" total_magnetization_mub_per_atom=0.000 n_ef_per_ev_atom=0.497 pbc="T T T"
Mg 2.5587 2.5890 4.4768
Tl 0.0000 0.5171 4.4783
Tl 2.5587 0.5169 1.9177
Ca 0.0000 2.5888 1.9198

Q:
4
Lattice="-2.6255 4.7181 -0.4709 -3.1556 0.9271 -4.3079 -5.3867 0.1728 0.5736" Properties=species:S:1:pos:R:3 comment="CaMgTl2, optimized geometry, DFT GGA-PBE" density_g_cm3=7.0 spacegroup="F-43m, No. 216" total_magnetization_mub_per_atom=0.000 n_ef_per_ev_atom=0.329 pbc="T T T"
Ca -5.5839 2.9090 -2.1026
Mg -8.3759 4.3634 -3.1540
Tl 0.0000 0.0000 0.0000
Tl -2.7920 1.4545 -1.0513

R:
4
Lattice="6.0962 0.0594 -0.0501 4.8839 3.6489 -0.0501 1.5425 0.5209 5.1060" Properties=species:S:1:pos:R:3 comment="CaMgTl2, optimized geometry, DFT GGA-PBE" density_g_cm3=7.0 spacegroup="Cm, No. 8" total_magnetization_mub_per_atom=0.000 n_ef_per_ev_atom=0.426 pbc="T T T"
Mg 3.1579 1.0665 0.9969
Tl 11.0394 3.7283 0.1056
Tl 9.2939 3.1388 3.6136
Ca 6.2728 2.1185 2.6925

S:
4
Lattice="3.7807 -0.0014 -0.0025 1.8892 3.2748 -0.0025 1.8871 1.0895 9.3193" Properties=species:S:1:pos:R:3 comment="CaMgTl2, optimized geometry, DFT GGA-PBE" density_g_cm3=6.8 spacegroup="Cm, No. 8" total_magnetization_mub_per_atom=0.000 n_ef_per_ev_atom=0.389 pbc="T T T"
Ca 3.7800 2.1824 0.0079
Mg 3.7784 2.1814 4.6490
Tl 1.8962 1.0948 6.8273
Tl 1.8809 1.0859 2.4872

What are the relative energies? In meV per atom: P 0; Q 135; R 60; S 110.

P:
4
Lattice="6.2044 -0.0212 -0.0560 2.7814 5.5461 0.0560 -4.2274 -3.1943 3.2286" Properties=species:S:1:pos:R:3 comment="CaMgTl2, optimized geometry, DFT GGA-PBE" density_g_cm3=7.0 spacegroup="Imm2, No. 44" total_magnetization_mub_per_atom=0.000 n_ef_per_ev_atom=0.539 pbc="T T T"
Mg 3.3271 -0.1698 1.5863
Tl 8.9183 5.4834 0.0000
Tl 1.4834 2.5324 1.6423
Ca 4.5083 2.7719 0.0000

Q:
4
Lattice="3.7310 0.0000 0.0000 0.0000 3.7083 0.4855 0.0000 2.7354 8.0376" Properties=species:S:1:pos:R:3 comment="CaMgTl2, optimized geometry, DFT GGA-PBE" density_g_cm3=7.4 spacegroup="P2/m, No. 10" total_magnetization_mub_per_atom=0.000 n_ef_per_ev_atom=0.279 pbc="T T T"
Mg 1.8655 4.8328 6.3923
Tl 0.0000 2.7637 7.8554
Tl 0.0000 3.1936 4.4438
Ca 1.8655 1.6109 2.1308

R:
8
Lattice="-2.1473 -4.2375 0.8559 1.7167 -1.7129 -4.1736 8.5438 -6.4019 3.3503" Properties=species:S:1:pos:R:3 comment="CaMgTl2, optimized geometry, DFT GGA-PBE" density_g_cm3=6.3 spacegroup="I-42d, No. 122" total_magnetization_mub_per_atom=0.000 n_ef_per_ev_atom=0.535 pbc="T T T"
Mg -0.2153 -2.9752 -1.6588
Mg 5.0226 -5.5450 -1.2411
Tl 1.0569 -4.3676 0.8316
Tl 2.8921 -3.2962 -1.6447
Tl 6.2851 -7.0714 1.1746
Tl 5.9924 -9.9695 -0.2963
Ca 0.0000 0.0000 0.0000
Ca 3.0906 -6.8073 1.2737

S:
4
Lattice="-2.8748 1.6544 -9.4803 -4.2018 -1.7130 -8.9603 -6.1255 1.1988 -7.8688" Properties=species:S:1:pos:R:3 comment="CaMgTl2, optimized geometry, DFT GGA-PBE" density_g_cm3=6.9 spacegroup="R-3m, No. 166" total_magnetization_mub_per_atom=0.000 n_ef_per_ev_atom=0.810 pbc="T T T"
Ca -3.3005 0.2850 -6.5774
Mg -9.9016 0.8551 -19.7321
Tl -0.0594 0.0051 -0.1184
Tl -6.5417 0.5650 -13.0363

What are the relative energies? In meV per atom: P 67; Q 0; R 242; S 120.

P:
4
Lattice="10.7362 -0.0122 -0.0072 10.0755 3.7081 -0.0072 10.0755 1.7893 3.2478" Properties=species:S:1:pos:R:3 comment="Ca2MgTl, optimized geometry, DFT GGA-PBE" density_g_cm3=3.9 spacegroup="R-3m, No. 166" total_magnetization_mub_per_atom=0.092 n_ef_per_ev_atom=0.919 pbc="T T T"
Ca 0.1161 0.0206 0.0122
Ca 15.3275 2.7220 1.6046
Mg 7.7218 1.3713 0.8084
Tl 23.1653 4.1139 2.4251

Q:
4
Lattice="6.6212 -0.0138 0.2222 5.4975 3.6902 0.2222 2.1417 0.6497 5.0752" Properties=species:S:1:pos:R:3 comment="Ca2MgTl, optimized geometry, DFT GGA-PBE" density_g_cm3=4.2 spacegroup="Cm, No. 8" total_magnetization_mub_per_atom=0.000 n_ef_per_ev_atom=0.589 pbc="T T T"
Mg 7.4375 2.2563 2.6307
Tl 3.3957 1.0301 1.4445
Ca 11.8586 3.5975 0.5743
Ca 10.8176 3.2816 4.0742

What are the relative energies? In meV per atom: P 110; Q 0.

P:
11
Lattice="-2.2307 -1.7840 -4.7104 -4.4474 -5.3224 4.1235 -3.1299 9.5676 1.0792" Properties=species:S:1:pos:R:3 comment="Ca8Mg2Tl, optimized geometry, DFT GGA-PBE" density_g_cm3=2.4 spacegroup="Imm2, No. 44" total_magnetization_mub_per_atom=0.000 n_ef_per_ev_atom=1.106 pbc="T T T"
Ca -5.2821 6.3454 -1.0748
Ca -4.1801 3.8796 -3.8826
Ca -2.7953 -0.2075 0.2315
Ca -6.3062 -5.2652 0.5886
Ca -5.6375 -2.0379 2.2716
Ca -5.5447 0.6756 -2.0220
Ca -5.6290 5.4877 2.6347
Ca -6.6819 1.7416 1.3333
Mg -5.1652 -2.4815 -1.0029
Mg -4.2067 3.2850 -0.4203
Tl -7.4197 3.3444 4.2966

Q:
11
Lattice="5.9954 -0.2433 -0.3652 -1.3425 8.8909 -0.4686 -1.3425 -3.8567 8.0245" Properties=species:S:1:pos:R:3 comment="Ca8Mg2Tl, optimized geometry, DFT GGA-PBE" density_g_cm3=2.3 spacegroup="C2/m, No. 12" total_magnetization_mub_per_atom=0.000 n_ef_per_ev_atom=0.976 pbc="T T T"
Ca 3.2253 5.3104 4.6841
Ca 3.2253 2.2775 6.7048
Ca 0.1775 3.0791 4.6214
Ca 1.6552 6.0239 1.1779
Ca 1.6552 -1.2330 6.0128
Ca 3.1328 1.7118 2.5693
Ca 0.0850 2.5134 0.4859
Ca 0.0850 -0.5196 2.5066
Mg -1.3425 0.0839 5.3991
Mg -1.3425 4.9502 2.1568
Tl 2.9977 -0.1216 -0.1826

What are the relative energies? In meV per atom: P 0; Q 73.

P:
7
Lattice="-0.2123 3.7988 -6.3547 -2.1018 -2.2571 -5.5955 -4.9125 3.5424 -2.0347" Properties=species:S:1:pos:R:3 comment="CaMg2Tl4, optimized geometry, DFT GGA-PBE" density_g_cm3=7.5 spacegroup="I4/mmm, No. 139" total_magnetization_mub_per_atom=0.000 n_ef_per_ev_atom=0.445 pbc="T T T"
Ca 0.0000 0.0000 0.0000
Mg -3.5072 0.6426 -3.8151
Mg -3.6133 2.5421 -6.9924
Tl -1.1591 0.7716 -5.9746
Tl -2.6694 5.5683 -7.3731
Tl -4.6634 1.4153 -9.7891
Tl -5.9614 2.4131 -4.8329

Q:
7
Lattice="4.9414 0.0000 1.5438 2.2295 4.4098 1.5438 -0.0798 -0.0491 8.9354" Properties=species:S:1:pos:R:3 comment="CaMg2Tl4, optimized geometry, DFT GGA-PBE" density_g_cm3=7.7 spacegroup="R-3m, No. 166" total_magnetization_mub_per_atom=0.000 n_ef_per_ev_atom=0.536 pbc="T T T"
Ca 0.0000 0.0000 0.0000
Mg 5.2818 3.2481 9.1343
Mg 1.8094 1.1127 2.8886
Tl 6.1816 3.8014 6.2542
Tl 0.9096 0.5593 5.7687
Tl 4.3689 2.6867 3.3762
Tl 2.7222 1.6741 8.6468

What are the relative energies? In meV per atom: P 65; Q 0.

P:
16
Lattice="8.1632 0.0000 0.0000 0.0000 8.1632 0.0000 -4.0816 -4.0816 6.6964" Properties=species:S:1:pos:R:3 comment="CaMg2Tl5, optimized geometry, DFT GGA-PBE" density_g_cm3=8.3 spacegroup="I4/mcm, No. 140" total_magnetization_mub_per_atom=0.000 n_ef_per_ev_atom=0.584 pbc="T T T"
Ca 4.0816 4.0816 3.3482
Ca 0.0000 0.0000 3.3482
Mg 1.1679 2.9137 0.0000
Mg 5.2494 1.1679 0.0000
Mg 2.9137 6.9953 0.0000
Mg 6.9953 5.2495 0.0000
Tl 1.2155 2.8661 4.6442
Tl 5.2971 -1.2155 2.0522
Tl 0.0000 0.0000 0.0000
Tl 4.0816 4.0816 0.0000
Tl -1.2155 5.2971 4.6442
Tl 2.8661 -1.2155 4.6442
Tl 5.2971 1.2155 4.6442
Tl 1.2155 5.2971 2.0522
Tl -1.2155 2.8661 2.0522
Tl 2.8661 1.2155 2.0522

Q:
8
Lattice="6.2628 -0.1271 -2.0617 -3.3067 5.3188 -2.0631 0.0679 0.1219 6.5927" Properties=species:S:1:pos:R:3 comment="CaMg2Tl5, optimized geometry, DFT GGA-PBE" density_g_cm3=8.4 spacegroup="I4mm, No. 107" total_magnetization_mub_per_atom=0.000 n_ef_per_ev_atom=0.359 pbc="T T T"
Ca 2.3023 4.0414 -3.2111
Mg -0.8003 4.1620 1.1201
Mg 3.9844 1.4390 1.1204
Tl 0.8552 1.5057 2.1520
Tl -0.8286 4.1002 -2.1776
Tl 4.0202 1.5021 4.4151
Tl 2.3318 4.0993 0.0856
Tl 0.8223 1.4405 -1.1451

What are the relative energies? In meV per atom: P 32; Q 0.